No. 1
Compound: NaTlB2Br8
Source: Alexandria via LeMat-Bulk
Functional: GGA-PBE
Structure: relaxed

a b c (Å): 6.5901 6.5901 10.4587
angles (deg): 71.64 71.64 60.00
Last column: nearest neighbours and their distance in Å.
Sites, in units of the cell vectors:
B 0.2465 0.2465 0.2604  4 Br 2.02-2.04
Br 0.9618 0.5448 0.1928  1 B 2.04
Br 0.6995 0.0382 0.8072  1 B 2.04
Br 0.1772 0.1772 0.4683  1 B 2.02
Br 0.3005 0.9618 0.1928  1 B 2.04
Na 0.0000 0.0000 0.0000  6 Br 3.12
B 0.7535 0.7535 0.7396  4 Br 2.02-2.04
Br 0.8228 0.8228 0.5317  1 B 2.02
Tl 0.5000 0.5000 0.5000  12 Br 3.72-3.82
Br 0.4552 0.6995 0.8072  1 B 2.04
Br 0.5448 0.3005 0.1928  1 B 2.04
Br 0.0382 0.4552 0.8072  1 B 2.04

The calculation puts the total magnetization at 0.0 μB per cell. The space group is R-3. The uncorrected formation energy is -0.7148 eV per atom.

No. 2
Compound: K3Np2AgO9
Source: Alexandria via LeMat-Bulk
Functional: GGA-PBE
Structure: relaxed

a b c (Å): 6.1020 6.1020 7.5749
angles (deg): 90.00 90.00 120.00
Last column: nearest neighbours and their distance in Å.
Sites, in units of the cell vectors:
O 0.0000 0.5000 0.0000  2 Np 2.14
O 0.8182 0.1818 0.6929  1 Np 1.95
K 0.6667 0.3333 0.3544  12 O 3.02-3.21
O 0.8182 0.6364 0.6929  1 Np 1.95
O 0.6364 0.8182 0.3071  1 Np 1.95
K 0.0000 0.0000 0.0000  12 O 3.02-3.05
O 0.3636 0.1818 0.6929  1 Np 1.95
O 0.1818 0.8182 0.3071  1 Np 1.95
Np 0.6667 0.3333 0.8397  6 O 1.95-2.14
Ag 0.0000 0.0000 0.5000  6 O 2.41
O 0.5000 0.0000 0.0000  2 Np 2.14
O 0.1818 0.3636 0.3071  1 Np 1.95
O 0.5000 0.5000 0.0000  2 Np 2.14
K 0.3333 0.6667 0.6456  12 O 3.02-3.21
Np 0.3333 0.6667 0.1603  6 O 1.95-2.14

The calculation puts the total magnetization at 0.0 μB per cell. The space group is P-3m1. The uncorrected formation energy is -2.1357 eV per atom.

No. 3
Compound: Ba3TmBi2O8
Source: Alexandria via LeMat-Bulk
Functional: GGA-PBE
Structure: relaxed

a b c (Å): 6.2473 6.2473 8.1303
angles (deg): 90.00 90.00 120.00
Last column: nearest neighbours and their distance in Å.
Sites, in units of the cell vectors:
Ba 0.0000 0.0000 0.0000  6 O 3.23
O 0.3238 0.1619 0.6657  1 Bi 2.17, 1 Tm 2.21
Ba 0.6667 0.3333 0.3721  1 O 2.43
Tm 0.0000 0.0000 0.5000  6 O 2.21
O 0.6667 0.3333 0.0734  1 Bi 2.19, 1 Ba 2.43
O 0.8381 0.1619 0.6657  1 Bi 2.17, 1 Tm 2.21
Bi 0.3333 0.6667 0.1958  4 O 2.17-2.19
Ba 0.3333 0.6667 0.6279  1 O 2.43
O 0.1619 0.3238 0.3343  1 Bi 2.17, 1 Tm 2.21
O 0.1619 0.8381 0.3343  1 Bi 2.17, 1 Tm 2.21
O 0.3333 0.6667 0.9266  1 Bi 2.19, 1 Ba 2.43
O 0.8381 0.6762 0.6657  1 Bi 2.17, 1 Tm 2.21
O 0.6762 0.8381 0.3343  1 Bi 2.17, 1 Tm 2.21
Bi 0.6667 0.3333 0.8042  4 O 2.17-2.19

The calculation puts the total magnetization at 1.0 μB per cell. The space group is P-3m1. The uncorrected formation energy is -2.0911 eV per atom.

No. 4
Compound: TbEr3Sc
Source: Alexandria via LeMat-Bulk
Functional: GGA-PBE
Structure: relaxed

a b c (Å): 6.1364 8.9722 11.5502
angles (deg): 110.02 90.00 90.00
Last column: nearest neighbours and their distance in Å.
Sites, in units of the cell vectors:
Sc 0.6634 0.9520 0.0993  9 Er 3.35-3.56, 1 Sc 3.37, 2 Tb 3.41-3.55
Er 0.3358 0.8489 0.3012  2 Sc 3.44, 4 Tb 3.44-3.56, 6 Er 3.44-3.59
Sc 0.1634 0.5480 0.4007  9 Er 3.35-3.56, 1 Sc 3.37, 2 Tb 3.41-3.55
Er 0.8297 0.2437 0.0002  3 Sc 3.35-3.56, 6 Er 3.40-3.59, 3 Tb 3.50-3.58
Er 0.6689 0.3518 0.3032  4 Sc 3.38-3.55, 2 Tb 3.39-3.43, 6 Er 3.40-3.57
Er 0.3297 0.2563 0.4998  3 Sc 3.35-3.56, 6 Er 3.40-3.59, 3 Tb 3.50-3.58
Tb 0.1675 0.9488 0.6022  9 Er 3.39-3.58, 2 Sc 3.41-3.55, 1 Tb 3.48
Tb 0.6675 0.5512 0.8978  9 Er 3.39-3.58, 2 Sc 3.41-3.55, 1 Tb 3.48
Er 0.6703 0.7437 0.5002  3 Sc 3.35-3.56, 6 Er 3.40-3.59, 3 Tb 3.50-3.58
Tb 0.3325 0.4488 0.1022  9 Er 3.39-3.58, 2 Sc 3.41-3.55, 1 Tb 3.48
Er 0.1642 0.3489 0.8012  2 Sc 3.44, 4 Tb 3.44-3.56, 6 Er 3.44-3.59
Er 0.3311 0.6482 0.6968  4 Sc 3.38-3.55, 2 Tb 3.39-3.43, 6 Er 3.40-3.57
Sc 0.3366 0.0480 0.9007  9 Er 3.35-3.56, 1 Sc 3.37, 2 Tb 3.41-3.55
Er 0.6642 0.1511 0.6988  2 Sc 3.44, 4 Tb 3.44-3.56, 6 Er 3.44-3.59
Er 0.1703 0.7563 0.9998  3 Sc 3.35-3.56, 6 Er 3.40-3.59, 3 Tb 3.50-3.58
Er 0.8311 0.8518 0.8032  4 Sc 3.38-3.55, 2 Tb 3.39-3.43, 6 Er 3.40-3.57
Sc 0.8366 0.4520 0.5993  9 Er 3.35-3.56, 1 Sc 3.37, 2 Tb 3.41-3.55
Er 0.8358 0.6511 0.1988  2 Sc 3.44, 4 Tb 3.44-3.56, 6 Er 3.44-3.59
Er 0.1689 0.1482 0.1968  4 Sc 3.38-3.55, 2 Tb 3.39-3.43, 6 Er 3.40-3.57
Tb 0.8325 0.0512 0.3978  9 Er 3.39-3.58, 2 Sc 3.41-3.55, 1 Tb 3.48

The calculation puts the total magnetization at 0.0 μB per cell. The space group is P2_1/c. Its calculated formation energy is 14 meV per atom.

No. 5
Compound: Tb19Er4Tm6
Source: Alexandria via LeMat-Bulk
Functional: GGA-PBE
Structure: relaxed

a b c (Å): 10.7349 10.7350 10.7350
angles (deg): 109.47 109.47 109.47
Last column: nearest neighbours and their distance in Å.
Sites, in units of the cell vectors:
Tb 0.0144 0.7997 0.3408  1 Tm 3.17, 2 Er 3.33-3.40, 2 Tb 3.36-3.53
Tm 0.8730 0.3730 0.5000  1 Tm 3.15, 4 Tb 3.17-3.34
Tb 0.5411 0.2003 0.2147  1 Tm 3.17, 2 Er 3.33-3.40, 2 Tb 3.36-3.53
Er 0.6430 0.0000 0.0000  9 Tb 3.30-3.40
Tb 0.7997 0.3408 0.0144  1 Tm 3.17, 2 Er 3.33-3.40, 2 Tb 3.36-3.53
Tm 0.3730 0.5000 0.8730  1 Tm 3.15, 4 Tb 3.17-3.34
Tb 0.3264 0.7853 0.9856  1 Tm 3.17, 2 Er 3.33-3.40, 2 Tb 3.36-3.53
Tb 0.3408 0.0144 0.7997  1 Tm 3.17, 2 Er 3.33-3.40, 2 Tb 3.36-3.53
Tb 0.2003 0.2147 0.5411  1 Tm 3.17, 2 Er 3.33-3.40, 2 Tb 3.36-3.53
Er 0.0000 0.0000 0.6430  9 Tb 3.30-3.40
Tb 0.0000 0.7373 0.7373  5 Tb 3.26-3.53, 2 Er 3.30, 2 Tm 3.34
Tb 0.4589 0.6736 0.6592  1 Tm 3.17, 2 Er 3.33-3.40, 2 Tb 3.36-3.53
Tb 0.2147 0.5411 0.2003  1 Tm 3.17, 2 Er 3.33-3.40, 2 Tb 3.36-3.53
Tb 0.2627 0.2627 0.0000  5 Tb 3.26-3.53, 2 Er 3.30, 2 Tm 3.34
Tm 0.5000 0.8730 0.3730  1 Tm 3.15, 4 Tb 3.17-3.34
Er 0.3570 0.3570 0.3570  9 Tb 3.30-3.40
Tb 0.9856 0.3264 0.7853  1 Tm 3.17, 2 Er 3.33-3.40, 2 Tb 3.36-3.53
Tb 0.7373 0.7373 0.0000  5 Tb 3.26-3.53, 2 Er 3.30, 2 Tm 3.34
Tb 0.6592 0.4589 0.6736  1 Tm 3.17, 2 Er 3.33-3.40, 2 Tb 3.36-3.53
Tb 0.7373 0.0000 0.7373  5 Tb 3.26-3.53, 2 Er 3.30, 2 Tm 3.34
Tb 0.2627 0.0000 0.2627  5 Tb 3.26-3.53, 2 Er 3.30, 2 Tm 3.34
Tm 0.6270 0.5000 0.1270  1 Tm 3.15, 4 Tb 3.17-3.34
Tm 0.1270 0.6270 0.5000  1 Tm 3.15, 4 Tb 3.17-3.34
Tb 0.6736 0.6592 0.4589  1 Tm 3.17, 2 Er 3.33-3.40, 2 Tb 3.36-3.53
Tb 0.0000 0.0000 0.0000  6 Tb 3.26
Er 0.0000 0.6430 0.0000  9 Tb 3.30-3.40
Tm 0.5000 0.1270 0.6270  1 Tm 3.15, 4 Tb 3.17-3.34
Tb 0.7853 0.9856 0.3264  1 Tm 3.17, 2 Er 3.33-3.40, 2 Tb 3.36-3.53
Tb 0.0000 0.2627 0.2627  5 Tb 3.26-3.53, 2 Er 3.30, 2 Tm 3.34

The calculation puts the total magnetization at 0.0 μB per cell. The space group is I23. Its calculated formation energy is 391 meV per atom.

No. 6
Compound: Li2TlF6
Source: Alexandria via LeMat-Bulk
Functional: GGA-PBE
Structure: relaxed

a b c (Å): 3.7644 5.5922 6.3989
angles (deg): 67.86 72.89 70.33
Last column: nearest neighbours and their distance in Å.
Sites, in units of the cell vectors:
F 0.0237 0.1579 0.7947  2 Li 1.96-2.03, 1 Tl 2.12
F 0.7438 0.6331 0.8792  3 Li 2.03-2.12
Li 0.8331 0.2333 0.1006  6 F 1.96-2.12
F 0.2562 0.3669 0.1208  3 Li 2.03-2.12
Li 0.1669 0.7667 0.8994  6 F 1.96-2.12
F 0.6447 0.2936 0.4170  1 Li 2.06
F 0.3553 0.7064 0.5830  1 Li 2.06
Tl 0.0000 0.5000 0.5000  6 F 2.12-2.31
F 0.9763 0.8421 0.2053  2 Li 1.96-2.03, 1 Tl 2.12

The calculation puts the total magnetization at 1.0 μB per cell. The space group is C2/m. The uncorrected formation energy is -2.0487 eV per atom. The calculation puts the relative energy among the computed polymorphs at 0.085 eV per formula unit.

No. 7
Compound: BaSnO3
Source: Alexandria via LeMat-Bulk
Functional: GGA-PBE
Structure: relaxed

a b c (Å): 13.2199 7.8972 7.8972
angles (deg): 95.56 132.14 47.86
Last column: nearest neighbours and their distance in Å.
Sites, in units of the cell vectors:
O 0.1513 0.6083 0.6526  1 Sn 2.02
O 0.9290 0.0509 0.0960  3 Sn 2.14-2.38
O 0.5710 0.5960 0.5509  3 Sn 2.14-2.38
Sn 0.2500 0.4984 0.9984  4 O 2.02-2.12
O 0.6513 0.8474 0.8917  1 Sn 2.02
O 0.3487 0.1526 0.1083  1 Sn 2.02
O 0.0710 0.9491 0.9040  3 Sn 2.14-2.38
Sn 0.2500 0.8253 0.3253  6 O 2.05-2.15
Ba 0.2117 0.3851 0.3957  4 O 2.56-2.73
Ba 0.2883 0.8957 0.8851  4 O 2.56-2.73
Ba 0.7883 0.6149 0.6043  4 O 2.56-2.73
O 0.4290 0.4040 0.4491  3 Sn 2.14-2.38
O 0.0511 0.2473 0.1619  2 Sn 2.05-2.12
O 0.8487 0.3917 0.3474  1 Sn 2.02
O 0.5511 0.3381 0.2527  2 Sn 2.05-2.12
Ba 0.7117 0.1043 0.1149  4 O 2.56-2.73
Sn 0.7500 0.1747 0.6747  6 O 2.05-2.15
O 0.4489 0.6619 0.7473  2 Sn 2.05-2.12
O 0.9489 0.7527 0.8381  2 Sn 2.05-2.12
Sn 0.7500 0.5016 0.0016  4 O 2.02-2.12

The calculation puts the total magnetization at 0.0 μB per cell. The space group is C2/c. The uncorrected formation energy is -2.0917 eV per atom.

No. 8
Compound: Cu3IrRh3
Source: Alexandria via LeMat-Bulk
Functional: GGA-PBE
Structure: relaxed

a b c (Å): 4.3880 7.0447 7.0447
angles (deg): 120.00 90.00 90.00
Last column: nearest neighbours and their distance in Å.
Sites, in units of the cell vectors:
Cu 0.2500 0.1847 0.2282  6 Cu 2.56-2.65, 5 Rh 2.63-2.72, 1 Ir 2.72
Cu 0.2500 0.7718 0.9565  6 Cu 2.56-2.65, 5 Rh 2.63-2.72, 1 Ir 2.72
Cu 0.7500 0.2282 0.0435  6 Cu 2.56-2.65, 5 Rh 2.63-2.72, 1 Ir 2.72
Rh 0.7500 0.0935 0.6209  5 Cu 2.63-2.72, 3 Ir 2.66-2.69, 4 Rh 2.68-2.69
Rh 0.2500 0.4726 0.0935  5 Cu 2.63-2.72, 3 Ir 2.66-2.69, 4 Rh 2.68-2.69
Ir 0.2500 0.3333 0.6667  9 Rh 2.66-2.69, 3 Cu 2.72
Rh 0.2500 0.6209 0.5274  5 Cu 2.63-2.72, 3 Ir 2.66-2.69, 4 Rh 2.68-2.69
Rh 0.7500 0.5274 0.9065  5 Cu 2.63-2.72, 3 Ir 2.66-2.69, 4 Rh 2.68-2.69
Cu 0.2500 0.0435 0.8153  6 Cu 2.56-2.65, 5 Rh 2.63-2.72, 1 Ir 2.72
Rh 0.7500 0.3791 0.4726  5 Cu 2.63-2.72, 3 Ir 2.66-2.69, 4 Rh 2.68-2.69
Rh 0.2500 0.9065 0.3791  5 Cu 2.63-2.72, 3 Ir 2.66-2.69, 4 Rh 2.68-2.69
Ir 0.7500 0.6667 0.3333  9 Rh 2.66-2.69, 3 Cu 2.72
Cu 0.7500 0.9565 0.1847  6 Cu 2.56-2.65, 5 Rh 2.63-2.72, 1 Ir 2.72
Cu 0.7500 0.8153 0.7718  6 Cu 2.56-2.65, 5 Rh 2.63-2.72, 1 Ir 2.72

The calculation puts the total magnetization at 0.0 μB per cell. The space group is P6_3/m. Its calculated formation energy is 48 meV per atom.

No. 9
Compound: GaPRuAu2S
Source: Alexandria via LeMat-Bulk
Functional: GGA-PBE
Structure: relaxed

a b c (Å): 6.2669 3.3756 11.2221
angles (deg): 90.00 107.51 90.00
Last column: nearest neighbours and their distance in Å.
Sites, in units of the cell vectors:
Au 0.2595 0.5000 0.4946  1 P 2.42
Ru 0.8642 0.5000 0.9831  2 P 2.23, 1 S 2.38
Ga 0.0439 0.5000 0.8071  2 S 2.34, 1 Ru 2.55, 1 Au 2.57
Au 0.6133 0.0000 0.2309  1 P 2.51, 1 Ga 2.57, 1 Ru 2.79
P 0.6551 0.0000 0.0150  2 Ru 2.23, 1 Au 2.42
S 0.1321 0.0000 0.6851  2 Ga 2.34, 1 Ru 2.38
Ru 0.8642 0.0000 0.4831  2 P 2.23, 1 S 2.38
Ga 0.0439 0.0000 0.3071  2 S 2.34, 1 Ru 2.55, 1 Au 2.57
S 0.1321 0.5000 0.1851  2 Ga 2.34, 1 Ru 2.38
Au 0.2595 0.0000 0.9946  1 P 2.42
P 0.6551 0.5000 0.5150  2 Ru 2.23, 1 Au 2.42
Au 0.6133 0.5000 0.7309  1 P 2.51, 1 Ga 2.57, 1 Ru 2.79

The calculation puts the total magnetization at 0.0 μB per cell. The space group is Cm. The uncorrected formation energy is -0.1170 eV per atom. The calculation puts the relative energy among the computed polymorphs at 0.176 eV per formula unit.

No. 10
Compound: K2YRu
Source: Alexandria via LeMat-Bulk
Functional: GGA-PBE
Structure: relaxed

a b c (Å): 4.2806 4.2806 6.3036
angles (deg): 90.00 90.00 90.00
Last column: nearest neighbours and their distance in Å.
Sites, in units of the cell vectors:
Ru 0.5000 0.0000 0.5000  4 Y 3.03
K 0.0000 0.0000 0.0000  4 K 3.03
K 0.5000 0.5000 0.0000  4 K 3.03
Y 0.0000 0.5000 0.5000  4 Ru 3.03

The calculation puts the total magnetization at 0.9 μB per cell. The space group is P4/mmm. Its calculated formation energy is 785 meV per atom. The calculation puts the relative energy among the computed polymorphs at 1.877 eV per formula unit.

No. 11
Compound: TiPI2O
Source: Alexandria via LeMat-Bulk
Functional: GGA-PBE
Structure: relaxed

a b c (Å): 5.6429 5.6429 3.5475
angles (deg): 90.00 90.00 90.00
Last column: nearest neighbours and their distance in Å.
Sites, in units of the cell vectors:
O 0.0000 0.0000 0.5000  2 P 1.77
I 0.5000 0.0000 0.0000  2 P 2.82
Ti 0.5000 0.5000 0.5000  8 I 3.33, 2 Ti 3.55
I 0.0000 0.5000 0.0000  2 P 2.82
P 0.0000 0.0000 0.0000  2 O 1.77

The calculation puts the total magnetization at 2.6 μB per cell. The space group is P4/mmm. The uncorrected formation energy is 0.0033 eV per atom. The calculation puts the relative energy among the computed polymorphs at 2.225 eV per formula unit.

No. 12
Compound: Ce3SiAu
Source: Alexandria via LeMat-Bulk
Functional: GGA-PBE
Structure: relaxed

a b c (Å): 4.3151 7.7546 9.0282
angles (deg): 115.43 90.00 90.00
Last column: nearest neighbours and their distance in Å.
Sites, in units of the cell vectors:
Si 0.0000 0.6312 0.2623  1 Ce 2.93
Ce 0.5000 0.3325 0.0000  1 Ce 2.60
Si 0.0000 0.3688 0.7377  1 Ce 2.93
Ce 0.5000 0.5000 0.5000  4 Ce 3.06, 2 Au 3.35
Ce 0.5000 0.6675 0.0000  1 Ce 2.60
Au 0.5000 0.0826 0.1652  1 Au 2.69, 4 Ce 2.77-2.91
Ce 0.5000 0.0000 0.5000  4 Ce 3.06, 2 Au 3.35
Ce 0.0000 0.8106 0.6213  2 Au 2.77, 1 Si 2.93, 4 Ce 3.06
Ce 0.0000 0.1894 0.3787  2 Au 2.77, 1 Si 2.93, 4 Ce 3.06
Au 0.5000 0.9174 0.8348  1 Au 2.69, 4 Ce 2.77-2.91

The calculation puts the total magnetization at 4.8 μB per cell. The space group is Cmmm. The uncorrected formation energy is -0.1340 eV per atom.

What did we get for raw total energy? Answer: -3.2501; -7.2456; -6.2102; -4.9158; -4.1975; -3.9845; -6.2517; -6.1241; -4.8495; -3.6984; -4.2693; -5.4344 eV per atom, in the order shown.